Here is an optimized crystal structure of CrNi4Rh from the Alexandria database. Energies are from PBE-GGA.

Computed properties:
DFT formation energy = 0.198 eV/atom
Magnetic moment = 0.28 μB/f.u.

a = 7.1869 Å, b = 3.4309 Å, c = 5.9088 Å
α = 90.00°, β = 90.00°, γ = 90.00°
Last column: nearest neighbours and their distance in Å.
Fractional positions:
Cr: 0.2500 0.0000 0.2137  1 Rh 2.18, 4 Ni 2.40
Cr: 0.7500 0.0000 0.7863  1 Rh 2.18, 4 Ni 2.40
Ni: 0.0000 0.0000 0.5000  8 Ni 2.47-2.48, 2 Cr 2.47, 2 Rh 2.72
Ni: 0.0172 0.5000 0.2010  5 Ni 2.39-2.57, 2 Cr 2.40, 2 Rh 2.59
Ni: 0.2500 0.5000 0.5089  2 Cr 2.45, 8 Ni 2.47-2.57, 2 Rh 2.63
Ni: 0.4828 0.5000 0.2010  5 Ni 2.39-2.57, 2 Cr 2.40, 2 Rh 2.59
Ni: 0.5000 0.0000 0.5000  8 Ni 2.47-2.48, 2 Cr 2.47, 2 Rh 2.72
Ni: 0.5172 0.5000 0.7990  5 Ni 2.39-2.57, 2 Cr 2.40, 2 Rh 2.59
Ni: 0.7500 0.5000 0.4911  2 Cr 2.45, 8 Ni 2.47-2.57, 2 Rh 2.63
Ni: 0.9828 0.5000 0.7990  5 Ni 2.39-2.57, 2 Cr 2.40, 2 Rh 2.59
Rh: 0.2500 0.0000 0.8455  1 Cr 2.18
Rh: 0.7500 0.0000 0.1545  1 Cr 2.18

---

Here is an optimized crystal structure of Nd2SmDy2Er2 from the Alexandria database. Energies are from PBE-GGA.

Computed properties:
DFT formation energy = 0.151 eV/atom
Magnetic moment = 0.00 μB/f.u.

a = 6.0247 Å, b = 6.0247 Å, c = 11.8570 Å
α = 101.42°, β = 101.42°, γ = 33.77°
Last column: nearest neighbours and their distance in Å.
Fractional positions:
Nd: 0.0929 0.0929 0.2750  4 Dy 3.44-3.68, 2 Nd 3.50, 3 Er 3.50-3.64, 2 Sm 3.66
Nd: 0.9071 0.9071 0.7250  4 Dy 3.44-3.68, 2 Nd 3.50, 3 Er 3.50-3.64, 2 Sm 3.66
Sm: 0.5000 0.5000 0.0000  6 Er 3.44-3.52, 2 Sm 3.50, 4 Nd 3.66
Dy: 0.1540 0.1540 0.5716  4 Nd 3.44-3.68, 1 Er 3.48, 5 Dy 3.50-3.60
Dy: 0.8460 0.8460 0.4284  4 Nd 3.44-3.68, 1 Er 3.48, 5 Dy 3.50-3.60
Er: 0.2041 0.2041 0.8713  3 Sm 3.44-3.52, 1 Dy 3.48, 4 Er 3.49-3.50, 3 Nd 3.50-3.64
Er: 0.7959 0.7959 0.1287  3 Sm 3.44-3.52, 1 Dy 3.48, 4 Er 3.49-3.50, 3 Nd 3.50-3.64

---

Here is an optimized crystal structure of CaLa2MgNi from the Alexandria database. Energies are from PBE-GGA.

Computed properties:
DFT formation energy = -0.097 eV/atom
Magnetic moment = 0.00 μB/f.u.

a = 5.4883 Å, b = 5.4883 Å, c = 5.2372 Å
α = 90.00°, β = 90.00°, γ = 90.00°
Last column: nearest neighbours and their distance in Å.
Fractional positions:
Ca: 0.0000 0.0000 0.0000  8 La 3.79, 4 Mg 3.88
La: 0.0000 0.5000 0.5000  2 Ni 2.74
La: 0.5000 0.0000 0.5000  2 Ni 2.74
Mg: 0.5000 0.5000 0.0000  2 Ni 2.62
Ni: 0.5000 0.5000 0.5000  2 Mg 2.62, 4 La 2.74

---

Here is an optimized crystal structure of Cd2TcCl from the Alexandria database. Energies are from PBE-GGA.

Computed properties:
Magnetic moment = 2.80 μB/f.u.
Energy relative to the elements, uncorrected = 0.524 eV per atom

a = 3.0545 Å, b = 4.8307 Å, c = 5.4687 Å
α = 90.00°, β = 90.00°, γ = 90.00°
Last column: nearest neighbours and their distance in Å.
Fractional positions:
Cd: 0.0000 0.0000 0.0000  6 Cd 2.86-3.05, 4 Cl 3.13
Cd: 0.5000 0.5000 0.0000  6 Cd 2.86-3.05, 4 Tc 3.13
Tc: 0.0000 0.5000 0.5000  4 Cl 2.86, 2 Tc 3.05, 4 Cd 3.13
Cl: 0.5000 0.0000 0.5000  4 Tc 2.86, 2 Cl 3.05, 4 Cd 3.13

---

Here is an optimized crystal structure of ZrSbP2S from the Alexandria database. Energies are from PBE-GGA.

Computed properties:
Magnetic moment = 0.00 μB/f.u.
Energy relative to the elements, uncorrected = 0.197 eV per atom

a = 5.1079 Å, b = 5.1079 Å, c = 4.8279 Å
α = 90.00°, β = 90.00°, γ = 90.00°
Last column: nearest neighbours and their distance in Å.
Fractional positions:
Zr: 0.0000 0.0000 0.0000  2 S 2.41, 4 P 2.55
Sb: 0.5000 0.5000 0.5000  8 P 3.51, 4 S 3.61
P: 0.0000 0.5000 0.0000  2 Zr 2.55
P: 0.5000 0.0000 0.0000  2 Zr 2.55
S: 0.0000 0.0000 0.5000  2 Zr 2.41

---

Here is an optimized crystal structure of DyTiW4 from the Alexandria database. Energies are from PBE-GGA.

Computed properties:
DFT formation energy = 0.128 eV/atom
Magnetic moment = 0.00 μB/f.u.

a = 5.4196 Å, b = 5.4196 Å, c = 5.4196 Å
α = 60.00°, β = 60.00°, γ = 60.00°
Last column: nearest neighbours and their distance in Å.
Fractional positions:
Dy: 0.0000 0.0000 0.0000  12 W 3.18, 4 Ti 3.32
Ti: 0.2500 0.2500 0.2500  12 W 3.18, 4 Dy 3.32
W: 0.1247 0.6251 0.6251  6 W 2.71
W: 0.6251 0.1247 0.6251  6 W 2.71
W: 0.6251 0.6251 0.1247  6 W 2.71
W: 0.6251 0.6251 0.6251  6 W 2.71

---

Number 1: volume 145.70 Å³ per cell, E -77.83 eV for the cell shown. Number 2: volume 234.05 Å³ per cell, E -31.53 eV for the cell shown. Number 3: volume 157.75 Å³ per cell, E -19.72 eV for the cell shown. Number 4: volume 80.69 Å³ per cell, E -11.95 eV for the cell shown. Number 5: volume 125.96 Å³ per cell, E -26.63 eV for the cell shown. Number 6: volume 112.56 Å³ per cell, E -63.54 eV for the cell shown.